VASP calculation (PBE+U) on an optimized crystal structure of Rb5MoCl2O4.

The space group is Amm2 (No. 38) and the conventional cell measures 8.804, 10.722 and 6.983 Å, with angles of 90.00, 90.00 and 90.00 degrees. Symmetry generates all atoms from Rb at (0.000, 0.000, 0.000), Rb at (0.293, 0.181, 0.401), Mo at (0.500, 0.000, 0.916), Cl at (0.000, 0.203, 0.667), O at (0.332, 0.000, 0.084) and O at (0.500, 0.139, 0.750).

The uncorrected energy is -4.6674 eV/atom.